This record from the Alexandria database describes a geometry-optimized Sr2MnF structure. The functional is PBE with a Hubbard U.

Cell: 6.9942 6.9942 6.9942 Å, 113.12 113.12 102.40°
Last column: nearest neighbours and their distance in Å.
Element x y z (fractional)
Sr 0.0216 0.1250 0.3966  2 F 2.49
Sr 0.3750 0.9784 0.1034  2 F 2.49
Sr 0.7284 0.6250 0.6034  2 F 2.49
Sr 0.8750 0.2716 0.8966  2 F 2.49
Mn 0.2500 0.7500 0.5000  4 Sr 3.51
Mn 0.5000 0.5000 0.0000  4 Sr 3.51
F 0.0000 0.0000 0.0000  4 Sr 2.49
F 0.7500 0.2500 0.5000  4 Sr 2.49

Computed properties:
The density of states at the Fermi level is 0.80 states/eV per atom. The calculation puts the offset from the most stable computed form at 0.0000 eV per atom.